# 1
A plane-wave DFT calculation with GGA-PBE was carried out for a relaxed structure of KTeOs2.

```
4
Lattice="6.892 0.055 -2.304 6.252 2.902 -2.304 -3.891 -0.875 7.826" Properties=species:S:1:pos:R:3 pbc="T T T"
K 6.939 1.561 2.414
Os -0.078 -0.017 1.625
Os 4.704 1.058 -0.016
Te 2.313 0.520 0.805
```

Calculated values
* formation energy (no corrections): 969 meV per atom
* Fermi-level density of states: 1.034 states/eV/atom

---

# 2
A plane-wave DFT calculation with GGA-PBE was carried out for a relaxed structure of KTe4Os.

```
6
Lattice="0.000 4.541 4.541 4.541 0.000 4.541 4.541 4.541 0.000" Properties=species:S:1:pos:R:3 pbc="T T T"
K 6.811 6.811 6.811
Te 3.394 5.687 5.687
Te 5.687 5.687 3.394
Te 5.687 3.394 5.687
Te 3.394 3.394 3.394
Os 0.000 0.000 0.000
```

Calculated values
* formation energy (no corrections): 952 meV per atom
* Fermi-level density of states: 1.153 states/eV/atom